NbV3Ag | the Alexandria database | GGA-PBE | relaxed; offset from the most stable computed form = 0.00 eV per formula unit; E_form = 1448 meV/atom; space group = Pm-3m, No. 221
1.0
4.6204 0.0000 0.0000
0.0000 4.6204 0.0000
0.0000 0.0000 4.6204
Nb V Ag
1 3 1
direct
0.0000 0.0000 0.0000
0.0000 0.0000 0.5000
0.0000 0.5000 0.0000
0.5000 0.0000 0.0000
0.5000 0.5000 0.5000

Zr2CoPt | the Alexandria database | GGA-PBE | relaxed; E_form = -405 meV/atom; space group = C2/m, No. 12
1.0
3.1277 -1.7798 0.0000
3.1277 1.7798 0.0000
-1.9954 0.0000 6.8071
Zr Co Pt
2 1 1
direct
0.2429 0.2429 0.2265
0.7571 0.7571 0.7735
0.5000 0.5000 0.0000
0.0000 0.0000 0.5000

SrHgGe | the Alexandria database | GGA-PBE | relaxed; E_form = -488 meV/atom; space group = Cmcm, No. 63
1.0
2.3056 -8.9206 0.0000
2.3056 8.9206 0.0000
0.0000 0.0000 4.1073
Sr Hg Ge
2 2 2
direct
0.1022 0.8978 0.7500
0.8978 0.1022 0.2500
0.2880 0.7120 0.7500
0.7120 0.2880 0.2500
0.4567 0.5433 0.7500
0.5433 0.4567 0.2500

AcSbPdAu | the Alexandria database | GGA-PBE | relaxed; formation energy from raw total energies = -0.6668 eV per atom; space group = F-43m, No. 216
1.0
0.0000 3.6578 3.6578
3.6578 0.0000 3.6578
3.6578 3.6578 0.0000
Ac Sb Pd Au
1 1 1 1
direct
0.0000 0.0000 0.0000
0.5000 0.5000 0.5000
0.7500 0.7500 0.7500
0.2500 0.2500 0.2500

Tb5ScPt6 | the Alexandria database | GGA-PBE | relaxed; E_form = -1196 meV/atom; space group = C2/m, No. 12
1.0
7.8475 -3.4253 0.0000
7.8475 3.4253 0.0000
-1.5285 0.0000 4.6890
Tb Sc Pt
5 1 6
direct
0.0000 0.0000 0.0000
0.1670 0.1670 0.6670
0.3337 0.3337 0.3335
0.6663 0.6663 0.6665
0.8330 0.8330 0.3330
0.5000 0.5000 0.0000
0.1030 0.5835 0.8429
0.2611 0.7389 0.5000
0.4165 0.8970 0.1571
0.5835 0.1030 0.8429
0.7389 0.2611 0.5000
0.8970 0.4165 0.1571

Pm3Pr2Er2 | the Alexandria database | GGA-PBE | relaxed; offset from the most stable computed form = 0.00 eV per formula unit; E_form = 17 meV/atom; space group = P-1, No. 2
1.0
3.6326 0.0000 0.0000
1.8057 7.8883 0.0000
0.0104 3.3349 8.2470
Pm Pr Er
3 2 2
direct
0.0000 0.0000 0.0000
0.1406 0.7190 0.4288
0.8594 0.2810 0.5712
0.2845 0.4308 0.8548
0.7155 0.5692 0.1452
0.4297 0.1403 0.2875
0.5703 0.8597 0.7125

CsNaRe3 | the Alexandria database | GGA-PBE | relaxed; offset from the most stable computed form = 0.00 eV per formula unit; E_form = 3500 meV/atom; space group = Pm-3m, No. 221
1.0
4.9428 0.0000 0.0000
0.0000 4.9428 0.0000
0.0000 0.0000 4.9428
Cs Na Re
1 1 3
direct
0.0000 0.0000 0.0000
0.5000 0.5000 0.5000
0.0000 0.5000 0.5000
0.5000 0.0000 0.5000
0.5000 0.5000 0.0000

Si3Cl | the Alexandria database | GGA-PBE | relaxed; offset from the most stable computed form = 1.72 eV per formula unit; formation energy from raw total energies = 0.5805 eV per atom; space group = P4/mmm, No. 123
1.0
4.8215 0.0000 0.0000
0.0000 4.8215 0.0000
0.0000 0.0000 2.8967
Si Cl
3 1
direct
0.0000 0.0000 0.0000
0.0000 0.5000 0.5000
0.5000 0.0000 0.5000
0.5000 0.5000 0.0000